The following is a DFT calculation (PBE) of a geometry-optimized Mg5Cl3 structure.

Lattice parameters (Å, degrees): 7.600 7.600 3.335 90.00 90.00 105.83
Element x y z (fractional)
Mg 0.000 0.000 0.000
Mg 0.000 0.500 0.000
Mg 0.282 0.282 0.500
Mg 0.500 0.000 0.000
Mg 0.718 0.718 0.500
Cl 0.247 0.753 0.500
Cl 0.500 0.500 0.000
Cl 0.753 0.247 0.500

Output
* uncorrected formation energy: -0.561 eV per atom
* distance to the lowest polymorph of the same formula: 0.108 eV/atom
* symmetry: No. 65
* spin magnetization: 0.00 μB/cell

The following is a DFT calculation (PBE) of a geometry-optimized MgCl structure.

Lattice parameters (Å, degrees): 7.814 7.814 7.814 90.00 90.00 90.00
Element x y z (fractional)
Mg 0.000 0.250 0.500
Mg 0.000 0.750 0.500
Mg 0.250 0.500 0.000
Mg 0.500 0.000 0.250
Mg 0.500 0.000 0.750
Mg 0.750 0.500 0.000
Cl 0.000 0.500 0.250
Cl 0.000 0.500 0.750
Cl 0.250 0.000 0.500
Cl 0.500 0.250 0.000
Cl 0.500 0.750 0.000
Cl 0.750 0.000 0.500

Output
* uncorrected formation energy: -0.619 eV per atom
* symmetry: No. 223
* spin magnetization: 0.00 μB/cell

The following is a DFT calculation (PBE) of a geometry-optimized MgCl structure.

Lattice parameters (Å, degrees): 7.831 7.831 7.831 92.84 92.84 154.26
Element x y z (fractional)
Mg 0.122 0.656 0.778
Mg 0.344 0.122 0.467
Mg 0.656 0.878 0.533
Mg 0.878 0.344 0.222
Cl 0.325 0.360 0.685
Cl 0.360 0.675 0.036
Cl 0.640 0.325 0.964
Cl 0.675 0.640 0.315

Output
* uncorrected formation energy: -1.042 eV per atom
* symmetry: No. 87
* spin magnetization: 0.00 μB/cell

The following is a DFT calculation (PBE) of a geometry-optimized MgCl structure.

Lattice parameters (Å, degrees): 5.448 3.511 5.703 90.00 118.60 90.00
Element x y z (fractional)
Mg 0.127 0.250 0.252
Mg 0.873 0.750 0.748
Cl 0.315 0.750 0.629
Cl 0.685 0.250 0.371

Output
* uncorrected formation energy: -1.169 eV per atom
* symmetry: No. 11
* spin magnetization: 0.00 μB/cell

The following is a DFT calculation (PBE) of a geometry-optimized MgCl5 structure.

Lattice parameters (Å, degrees): 8.212 6.310 6.310 32.34 90.00 90.00
Element x y z (fractional)
Mg 0.000 0.000 0.000
Cl 0.000 0.367 0.367
Cl 0.000 0.633 0.633
Cl 0.500 0.121 0.121
Cl 0.500 0.452 0.452
Cl 0.500 0.785 0.785

Output
* uncorrected formation energy: -0.596 eV per atom
* distance to the lowest polymorph of the same formula: 0.149 eV/atom
* symmetry: No. 38
* spin magnetization: 0.00 μB/cell

The following is a DFT calculation (PBE) of a geometry-optimized MgCl3 structure.

Lattice parameters (Å, degrees): 3.626 5.328 9.927 90.00 90.00 90.00
Element x y z (fractional)
Mg 0.250 0.250 0.148
Mg 0.750 0.750 0.852
Cl 0.250 0.502 0.703
Cl 0.250 0.750 0.025
Cl 0.250 0.998 0.703
Cl 0.750 0.002 0.297
Cl 0.750 0.250 0.975
Cl 0.750 0.498 0.297

Output
* uncorrected formation energy: -1.163 eV per atom
* symmetry: No. 59
* spin magnetization: 0.45 μB/cell